*A*
Re5Ni after structural relaxation, computed with GGA-PBE.

Values from the calculation:
The calculation puts the spin magnetization at 0.00 μB per formula unit. As for the space-group type: P6_3/mmc (194).

Lattice parameters (Å, degrees): 5.0411 5.0411 7.9145 90.00 90.00 120.00
Fractional coordinates of all 12 atoms:
Re (0.1702, 0.3403, 0.2500)
Re (0.1702, 0.8298, 0.2500)
Re (0.3333, 0.6667, 0.5665)
Re (0.3333, 0.6667, 0.9335)
Re (0.3403, 0.1702, 0.7500)
Re (0.6597, 0.8298, 0.2500)
Re (0.6667, 0.3333, 0.0665)
Re (0.6667, 0.3333, 0.4335)
Re (0.8298, 0.1702, 0.7500)
Re (0.8298, 0.6597, 0.7500)
Ni (0.0000, 0.0000, 0.0000)
Ni (0.0000, 0.0000, 0.5000)



*B*
Re5Ni after structural relaxation, computed with GGA-PBE.

Values from the calculation:
The calculation puts the spin magnetization at 0.00 μB per formula unit. As for the space-group type: P6_3/mmc (194).

Lattice parameters (Å, degrees): 5.0934 5.0934 16.5123 90.00 90.00 120.00
Fractional coordinates of all 24 atoms:
Re (0.0000, 0.0000, 0.0853)
Re (0.0000, 0.0000, 0.4147)
Re (0.0000, 0.0000, 0.5853)
Re (0.0000, 0.0000, 0.9147)
Re (0.0000, 0.5000, 0.0000)
Re (0.0000, 0.5000, 0.5000)
Re (0.1584, 0.3169, 0.2500)
Re (0.1584, 0.8416, 0.2500)
Re (0.3169, 0.1584, 0.7500)
Re (0.3333, 0.6667, 0.1293)
Re (0.3333, 0.6667, 0.3707)
Re (0.5000, 0.0000, 0.0000)
Re (0.5000, 0.0000, 0.5000)
Re (0.5000, 0.5000, 0.0000)
Re (0.5000, 0.5000, 0.5000)
Re (0.6667, 0.3333, 0.6293)
Re (0.6667, 0.3333, 0.8707)
Re (0.6831, 0.8416, 0.2500)
Re (0.8416, 0.1584, 0.7500)
Re (0.8416, 0.6831, 0.7500)
Ni (0.3333, 0.6667, 0.6483)
Ni (0.3333, 0.6667, 0.8517)
Ni (0.6667, 0.3333, 0.1483)
Ni (0.6667, 0.3333, 0.3517)



Question: which arrangement is favored energetically? Ranking from most to least stable: *A*, *B*.



*A*
Re5Ni after structural relaxation, computed with GGA-PBE.

Values from the calculation:
The calculation puts the spin magnetization at 0.00 μB per formula unit. As for the space-group type: P6_3/mmc (194).

Lattice parameters (Å, degrees): 5.0360 5.0360 15.8691 90.00 90.00 120.00
Fractional coordinates of all 24 atoms:
Re (0.0000, 0.0000, 0.0913)
Re (0.0000, 0.0000, 0.4087)
Re (0.0000, 0.0000, 0.5913)
Re (0.0000, 0.0000, 0.9087)
Re (0.0000, 0.5000, 0.0000)
Re (0.0000, 0.5000, 0.5000)
Re (0.1633, 0.3266, 0.2500)
Re (0.1633, 0.8367, 0.2500)
Re (0.3266, 0.1633, 0.7500)
Re (0.3333, 0.6667, 0.6575)
Re (0.3333, 0.6667, 0.8425)
Re (0.5000, 0.0000, 0.0000)
Re (0.5000, 0.0000, 0.5000)
Re (0.5000, 0.5000, 0.0000)
Re (0.5000, 0.5000, 0.5000)
Re (0.6667, 0.3333, 0.1575)
Re (0.6667, 0.3333, 0.3425)
Re (0.6734, 0.8367, 0.2500)
Re (0.8367, 0.1633, 0.7500)
Re (0.8367, 0.6734, 0.7500)
Ni (0.3333, 0.6667, 0.1257)
Ni (0.3333, 0.6667, 0.3743)
Ni (0.6667, 0.3333, 0.6257)
Ni (0.6667, 0.3333, 0.8743)



*B*
Re5Ni after structural relaxation, computed with GGA-PBE.

Values from the calculation:
The calculation puts the spin magnetization at 0.00 μB per formula unit. As for the space-group type: Cmcm (63).

Lattice parameters (Å, degrees): 4.9238 4.9238 8.1349 90.00 90.00 118.05
Fractional coordinates of all 12 atoms:
Re (0.0000, 0.0000, 0.0000)
Re (0.0000, 0.0000, 0.5000)
Re (0.1742, 0.3474, 0.2500)
Re (0.3362, 0.6638, 0.5645)
Re (0.3362, 0.6638, 0.9355)
Re (0.3474, 0.1742, 0.7500)
Re (0.6526, 0.8258, 0.2500)
Re (0.6638, 0.3362, 0.0645)
Re (0.6638, 0.3362, 0.4355)
Re (0.8258, 0.6526, 0.7500)
Ni (0.1695, 0.8305, 0.2500)
Ni (0.8305, 0.1695, 0.7500)



*C*
Re5Ni after structural relaxation, computed with GGA-PBE.

Values from the calculation:
The calculation puts the spin magnetization at 0.02 μB per formula unit. As for the space-group type: P6_3/mmc (194).

Lattice parameters (Å, degrees): 5.0868 5.0868 16.4592 90.00 90.00 120.00
Fractional coordinates of all 24 atoms:
Re (0.0000, 0.5000, 0.0000)
Re (0.0000, 0.5000, 0.5000)
Re (0.1590, 0.3179, 0.2500)
Re (0.1590, 0.8410, 0.2500)
Re (0.3179, 0.1590, 0.7500)
Re (0.3333, 0.6667, 0.1283)
Re (0.3333, 0.6667, 0.3717)
Re (0.3333, 0.6667, 0.6536)
Re (0.3333, 0.6667, 0.8464)
Re (0.5000, 0.0000, 0.0000)
Re (0.5000, 0.0000, 0.5000)
Re (0.5000, 0.5000, 0.0000)
Re (0.5000, 0.5000, 0.5000)
Re (0.6667, 0.3333, 0.1536)
Re (0.6667, 0.3333, 0.3464)
Re (0.6667, 0.3333, 0.6283)
Re (0.6667, 0.3333, 0.8717)
Re (0.6821, 0.8410, 0.2500)
Re (0.8410, 0.1590, 0.7500)
Re (0.8410, 0.6821, 0.7500)
Ni (0.0000, 0.0000, 0.0831)
Ni (0.0000, 0.0000, 0.4169)
Ni (0.0000, 0.0000, 0.5831)
Ni (0.0000, 0.0000, 0.9169)



Question: which arrangement is favored energetically? Ranking from most to least stable: *B*, *A*, *C*.



*A*
Re7Ni5 after structural relaxation, computed with GGA-PBE.

Values from the calculation:
The calculation puts the spin magnetization at 0.02 μB per formula unit. As for the space-group type: P6_3/mmc (194).

Lattice parameters (Å, degrees): 4.9245 4.9245 15.9419 90.00 90.00 120.00
Fractional coordinates of all 24 atoms:
Re (0.0000, 0.5000, 0.0000)
Re (0.0000, 0.5000, 0.5000)
Re (0.3333, 0.6667, 0.1341)
Re (0.3333, 0.6667, 0.3659)
Re (0.3333, 0.6667, 0.6525)
Re (0.3333, 0.6667, 0.8475)
Re (0.5000, 0.0000, 0.0000)
Re (0.5000, 0.0000, 0.5000)
Re (0.5000, 0.5000, 0.0000)
Re (0.5000, 0.5000, 0.5000)
Re (0.6667, 0.3333, 0.1525)
Re (0.6667, 0.3333, 0.3475)
Re (0.6667, 0.3333, 0.6341)
Re (0.6667, 0.3333, 0.8659)
Ni (0.0000, 0.0000, 0.0916)
Ni (0.0000, 0.0000, 0.4084)
Ni (0.0000, 0.0000, 0.5916)
Ni (0.0000, 0.0000, 0.9084)
Ni (0.1562, 0.3125, 0.2500)
Ni (0.1562, 0.8438, 0.2500)
Ni (0.3125, 0.1562, 0.7500)
Ni (0.6875, 0.8438, 0.2500)
Ni (0.8438, 0.1562, 0.7500)
Ni (0.8438, 0.6875, 0.7500)



*B*
Re7Ni5 after structural relaxation, computed with GGA-PBE.

Values from the calculation:
The calculation puts the spin magnetization at 1.06 μB per formula unit. As for the space-group type: P6_3/mmc (194).

Lattice parameters (Å, degrees): 4.9199 4.9199 16.1000 90.00 90.00 120.00
Fractional coordinates of all 24 atoms:
Re (0.0000, 0.0000, 0.0818)
Re (0.0000, 0.0000, 0.4182)
Re (0.0000, 0.0000, 0.5818)
Re (0.0000, 0.0000, 0.9182)
Re (0.1622, 0.3244, 0.2500)
Re (0.1622, 0.8378, 0.2500)
Re (0.3244, 0.1622, 0.7500)
Re (0.3333, 0.6667, 0.1211)
Re (0.3333, 0.6667, 0.3789)
Re (0.6667, 0.3333, 0.6211)
Re (0.6667, 0.3333, 0.8789)
Re (0.6756, 0.8378, 0.2500)
Re (0.8378, 0.1622, 0.7500)
Re (0.8378, 0.6756, 0.7500)
Ni (0.0000, 0.5000, 0.0000)
Ni (0.0000, 0.5000, 0.5000)
Ni (0.3333, 0.6667, 0.6587)
Ni (0.3333, 0.6667, 0.8413)
Ni (0.5000, 0.0000, 0.0000)
Ni (0.5000, 0.0000, 0.5000)
Ni (0.5000, 0.5000, 0.0000)
Ni (0.5000, 0.5000, 0.5000)
Ni (0.6667, 0.3333, 0.1587)
Ni (0.6667, 0.3333, 0.3413)



*C*
Re7Ni5 after structural relaxation, computed with GGA-PBE.

Values from the calculation:
The calculation puts the spin magnetization at 0.36 μB per formula unit. As for the space-group type: P6_3/mmc (194).

Lattice parameters (Å, degrees): 4.9029 4.9029 15.3052 90.00 90.00 120.00
Fractional coordinates of all 24 atoms:
Re (0.0000, 0.0000, 0.0973)
Re (0.0000, 0.0000, 0.4027)
Re (0.0000, 0.0000, 0.5973)
Re (0.0000, 0.0000, 0.9027)
Re (0.0000, 0.5000, 0.0000)
Re (0.0000, 0.5000, 0.5000)
Re (0.3333, 0.6667, 0.1636)
Re (0.3333, 0.6667, 0.3364)
Re (0.5000, 0.0000, 0.0000)
Re (0.5000, 0.0000, 0.5000)
Re (0.5000, 0.5000, 0.0000)
Re (0.5000, 0.5000, 0.5000)
Re (0.6667, 0.3333, 0.6636)
Re (0.6667, 0.3333, 0.8364)
Ni (0.1588, 0.3177, 0.7500)
Ni (0.1588, 0.8412, 0.7500)
Ni (0.3177, 0.1588, 0.2500)
Ni (0.3333, 0.6667, 0.6327)
Ni (0.3333, 0.6667, 0.8673)
Ni (0.6667, 0.3333, 0.1327)
Ni (0.6667, 0.3333, 0.3673)
Ni (0.6823, 0.8412, 0.7500)
Ni (0.8412, 0.1588, 0.2500)
Ni (0.8412, 0.6823, 0.2500)



*D*
Re7Ni5 after structural relaxation, computed with GGA-PBE.

Values from the calculation:
The calculation puts the spin magnetization at 1.30 μB per formula unit. As for the space-group type: P6_3/mmc (194).

Lattice parameters (Å, degrees): 4.8907 4.8907 15.4108 90.00 90.00 120.00
Fractional coordinates of all 24 atoms:
Re (0.0000, 0.0000, 0.0822)
Re (0.0000, 0.0000, 0.4178)
Re (0.0000, 0.0000, 0.5822)
Re (0.0000, 0.0000, 0.9178)
Re (0.1645, 0.3290, 0.2500)
Re (0.1645, 0.8355, 0.2500)
Re (0.3290, 0.1645, 0.7500)
Re (0.3333, 0.6667, 0.6518)
Re (0.3333, 0.6667, 0.8482)
Re (0.6667, 0.3333, 0.1518)
Re (0.6667, 0.3333, 0.3482)
Re (0.6710, 0.8355, 0.2500)
Re (0.8355, 0.1645, 0.7500)
Re (0.8355, 0.6710, 0.7500)
Ni (0.0000, 0.5000, 0.0000)
Ni (0.0000, 0.5000, 0.5000)
Ni (0.3333, 0.6667, 0.1207)
Ni (0.3333, 0.6667, 0.3793)
Ni (0.5000, 0.0000, 0.0000)
Ni (0.5000, 0.0000, 0.5000)
Ni (0.5000, 0.5000, 0.0000)
Ni (0.5000, 0.5000, 0.5000)
Ni (0.6667, 0.3333, 0.6207)
Ni (0.6667, 0.3333, 0.8793)



Question: which arrangement is favored energetically? Ranking from most to least stable: *C*, *D*, *A*, *B*.



*A*
Re7Ni5 after structural relaxation, computed with GGA-PBE.

Values from the calculation:
The calculation puts the spin magnetization at 0.62 μB per formula unit. As for the space-group type: P6_3/mmc (194).

Lattice parameters (Å, degrees): 4.9897 4.9897 15.7513 90.00 90.00 120.00
Fractional coordinates of all 24 atoms:
Re (0.1599, 0.3199, 0.2500)
Re (0.1599, 0.8401, 0.2500)
Re (0.3199, 0.1599, 0.7500)
Re (0.3333, 0.6667, 0.1223)
Re (0.3333, 0.6667, 0.3777)
Re (0.3333, 0.6667, 0.6526)
Re (0.3333, 0.6667, 0.8474)
Re (0.6667, 0.3333, 0.1526)
Re (0.6667, 0.3333, 0.3474)
Re (0.6667, 0.3333, 0.6223)
Re (0.6667, 0.3333, 0.8777)
Re (0.6801, 0.8401, 0.2500)
Re (0.8401, 0.1599, 0.7500)
Re (0.8401, 0.6801, 0.7500)
Ni (0.0000, 0.0000, 0.0897)
Ni (0.0000, 0.0000, 0.4103)
Ni (0.0000, 0.0000, 0.5897)
Ni (0.0000, 0.0000, 0.9103)
Ni (0.0000, 0.5000, 0.0000)
Ni (0.0000, 0.5000, 0.5000)
Ni (0.5000, 0.0000, 0.0000)
Ni (0.5000, 0.0000, 0.5000)
Ni (0.5000, 0.5000, 0.0000)
Ni (0.5000, 0.5000, 0.5000)



*B*
Re7Ni5 after structural relaxation, computed with GGA-PBE.

Values from the calculation:
The calculation puts the spin magnetization at 0.00 μB per formula unit. As for the space-group type: P6_3/mmc (194).

Lattice parameters (Å, degrees): 4.9942 4.9942 15.7125 90.00 90.00 120.00
Fractional coordinates of all 24 atoms:
Re (0.0000, 0.0000, 0.0895)
Re (0.0000, 0.0000, 0.4105)
Re (0.0000, 0.0000, 0.5895)
Re (0.0000, 0.0000, 0.9105)
Re (0.0000, 0.5000, 0.0000)
Re (0.0000, 0.5000, 0.5000)
Re (0.3333, 0.6667, 0.1356)
Re (0.3333, 0.6667, 0.3644)
Re (0.5000, 0.0000, 0.0000)
Re (0.5000, 0.0000, 0.5000)
Re (0.5000, 0.5000, 0.0000)
Re (0.5000, 0.5000, 0.5000)
Re (0.6667, 0.3333, 0.6356)
Re (0.6667, 0.3333, 0.8644)
Ni (0.1554, 0.3109, 0.2500)
Ni (0.1554, 0.8446, 0.2500)
Ni (0.3109, 0.1554, 0.7500)
Ni (0.3333, 0.6667, 0.6453)
Ni (0.3333, 0.6667, 0.8547)
Ni (0.6667, 0.3333, 0.1453)
Ni (0.6667, 0.3333, 0.3547)
Ni (0.6891, 0.8446, 0.2500)
Ni (0.8446, 0.1554, 0.7500)
Ni (0.8446, 0.6891, 0.7500)



Question: which arrangement is favored energetically? Ranking from most to least stable: *B*, *A*.